The following is a DFT calculation (PBE) of a relaxed HoPu2Pa crystal.

Computed properties:
ΔE to the lowest computed polymorph (eV/f.u.): 0.00
DOS(E_F) (states/eV/f.u.): 10.51

Cell: 3.3447 3.3447 9.2842 Å, 90.00 90.00 90.00°
With the nearest neighbours (Å) after each atom.
Fractional coordinates of all 4 atoms:
Pu1 0.0000 0.0000 0.2245  4 Pa 3.15, 4 Pu 3.34, 4 Ho 3.48
Pu2 0.0000 0.0000 0.7755  4 Pa 3.15, 4 Pu 3.34, 4 Ho 3.48
Ho1 0.5000 0.5000 0.5000  4 Ho 3.34, 8 Pu 3.48
Pa1 0.5000 0.5000 0.0000  8 Pu 3.15, 4 Pa 3.34

***

The following is a DFT calculation (PBE) of a relaxed CuPAu crystal.

Computed properties:
ΔE to the lowest computed polymorph (eV/f.u.): 0.45
DOS(E_F) (states/eV/f.u.): 2.31

Cell: 4.1520 4.1520 4.1520 Å, 60.00 60.00 60.00°
With the nearest neighbours (Å) after each atom.
Fractional coordinates of all 3 atoms:
Au1 0.5000 0.5000 0.5000  4 Cu 2.54
Cu1 0.7500 0.7500 0.7500  4 Au 2.54, 4 P 2.54
P1 0.0000 0.0000 0.0000  4 Cu 2.54

***

The following is a DFT calculation (PBE) of a relaxed Pm4Ag5Pt2 crystal.

Computed properties:
DOS(E_F) (states/eV/f.u.): 7.11
Calculated total energy (eV/atom): -4.65

Cell: 3.8043 7.4460 9.4179 Å, 95.67 90.00 90.00°
With the nearest neighbours (Å) after each atom.
Fractional coordinates of all 11 atoms:
Ag1 0.0000 0.5374 0.3127  1 Pt 2.90, 2 Ag 2.93-2.99
Ag2 0.0000 0.4626 0.6873  1 Pt 2.90, 2 Ag 2.93-2.99
Ag3 0.0000 0.8232 0.8576  1 Pt 2.86, 2 Ag 2.87-2.99
Ag4 0.0000 0.5000 0.0000  4 Ag 2.87-2.93, 4 Pm 3.17
Ag5 0.0000 0.1768 0.1424  1 Pt 2.86, 2 Ag 2.87-2.99
Pm1 0.5000 0.8107 0.1374  2 Pt 2.87, 2 Ag 3.17
Pm2 0.5000 0.2355 0.4400  4 Pt 3.02-3.05, 6 Ag 3.26-3.38
Pm3 0.5000 0.1893 0.8626  2 Pt 2.87, 2 Ag 3.17
Pm4 0.5000 0.7645 0.5600  4 Pt 3.02-3.05, 6 Ag 3.26-3.38
Pt1 0.0000 0.0719 0.6449  1 Pt 2.83, 2 Ag 2.86-2.90, 6 Pm 2.87-3.05
Pt2 0.0000 0.9281 0.3551  1 Pt 2.83, 2 Ag 2.86-2.90, 6 Pm 2.87-3.05